[1]
## Te3Ru (PBE)

Data for a relaxed structure of Te3Ru.

Structure (extended XYZ):
```
4
Lattice="3.755 -1.607 0.000 3.755 1.607 0.000 -0.114 0.000 8.537" Properties=species:S:1:pos:R:3 pbc="T T T"
Te 0.000 0.000 0.000
Te 1.464 0.000 5.796
Te 5.932 0.000 2.741
Ru 3.698 0.000 4.269
```

Output
- Total moment: 0.0000 μB/atom
- Formation energy from raw total energies: 2 kJ/mol of atoms
- Space-group type: C2/m


[2]
## Te3Ru (PBE)

Data for a relaxed structure of Te3Ru.

Structure (extended XYZ):
```
4
Lattice="4.542 0.000 0.000 0.000 4.542 0.000 0.000 0.000 4.542" Properties=species:S:1:pos:R:3 pbc="T T T"
Te 0.000 0.000 2.271
Te 0.000 2.271 0.000
Te 2.271 0.000 0.000
Ru 2.271 2.271 2.271
```

Output
- Total moment: 0.0000 μB/atom
- Formation energy from raw total energies: 78 kJ/mol of atoms
- Space-group type: Pm-3m


[3]
## Te3Ru (PBE)

Data for a relaxed structure of Te3Ru.

Structure (extended XYZ):
```
4
Lattice="-2.922 2.922 2.922 2.922 -2.922 2.922 2.922 2.922 -2.922" Properties=species:S:1:pos:R:3 pbc="T T T"
Te 2.922 0.000 0.000
Te 0.000 2.922 0.000
Te 0.000 0.000 2.922
Ru 0.000 0.000 0.000
```

Output
- Total moment: 0.0650 μB/atom
- Formation energy from raw total energies: 38 kJ/mol of atoms
- Space-group type: Im-3m


[4]
## Te4Ru (PBE)

Data for a relaxed structure of Te4Ru.

Structure (extended XYZ):
```
5
Lattice="5.222 0.000 0.000 0.000 5.222 0.000 0.000 0.000 5.222" Properties=species:S:1:pos:R:3 pbc="T T T"
Te 0.000 0.000 0.000
Te 0.000 2.611 2.611
Te 2.611 0.000 2.611
Te 2.611 2.611 0.000
Ru 2.611 2.611 2.611
```

Output
- E above lowest polymorph: 342 meV per atom
- Total moment: 0.1358 μB/atom
- Formation energy from raw total energies: 41 kJ/mol of atoms
- Space-group type: Pm-3m


[5]
## TeRu3 (PBE)

Data for a relaxed structure of TeRu3.

Structure (extended XYZ):
```
4
Lattice="2.970 0.000 0.000 0.000 2.970 0.000 0.000 0.000 7.232" Properties=species:S:1:pos:R:3 pbc="T T T"
Te 0.000 0.000 0.000
Ru 0.000 0.000 3.616
Ru 1.485 1.485 1.891
Ru 1.485 1.485 5.340
```

Output
- E above lowest polymorph: 141 meV per atom
- Total moment: 0.0004 μB/atom
- Formation energy from raw total energies: 45 kJ/mol of atoms
- Space-group type: P4/mmm


[6]
## TeRu5 (PBE)

Data for a relaxed structure of TeRu5.

Structure (extended XYZ):
```
6
Lattice="4.312 0.000 0.000 0.000 1.443 7.333 0.000 -1.443 7.333" Properties=species:S:1:pos:R:3 pbc="T T T"
Te 0.000 0.000 0.000
Ru 0.000 0.000 4.711
Ru 0.000 0.000 9.903
Ru 2.156 0.000 1.666
Ru 2.156 0.000 6.423
Ru 2.156 0.000 11.414
```

Output
- E above lowest polymorph: 99 meV per atom
- Total moment: 0.0000 μB/atom
- Formation energy from raw total energies: 30 kJ/mol of atoms
- Space-group type: Amm2


- total moment of number 1 (Te3Ru)?
  0.0000 μB/atom